The following is a DFT calculation (PBE-GGA) of a relaxed SmEr4Te5 crystal.

Results
DOS(E_F) = 10.44 states/eV/cell
Raw formation energy = -1.25 eV per atom

Lattice parameters (Å, degrees): 14.473 4.339 10.607 90.00 119.55 90.00
Space group C2/m (No. 12)
Unique sites:
Sm 0.000 0.000 0.000 [2 per cell]
Er 0.098 0.500 0.393 [4 per cell]
Er 0.205 0.000 0.800 [4 per cell]
Te 0.000 0.000 0.500 [2 per cell]
Te 0.105 0.500 0.896 [4 per cell]
Te 0.204 0.000 0.308 [4 per cell]